[1]
# GGA-PBE ZnCrRe2, relaxed
# density	14.6	Mg/m³
# Fermi-level density of states	1.081	states/eV per atom
# final energy	-8.653	eV/atom
# space group	I4/mmm (139)
# total magnetic moment	0.00	μB/cell
data_ZnCrRe2
_chemical_formula_sum 'Zn2 Cr2 Re4'
_space_group_name_H-M_alt 'P 1'
_space_group_IT_number 1
_cell_length_a 3.790
_cell_length_b 3.790
_cell_length_c 7.757
_cell_angle_alpha 90.00
_cell_angle_beta 90.00
_cell_angle_gamma 90.00
loop_
_space_group_symop_operation_xyz
'x,y,z'
loop_
_atom_site_label
_atom_site_fract_x
_atom_site_fract_y
_atom_site_fract_z
Zn1 0.000 0.000 0.000
Zn2 0.500 0.500 0.500
Cr1 0.000 0.000 0.500
Cr2 0.500 0.500 0.000
Re1 0.000 0.500 0.250
Re2 0.000 0.500 0.750
Re3 0.500 0.000 0.250
Re4 0.500 0.000 0.750

---

[2]
# GGA-PBE Zr5ZnCo4, relaxed
# density	7.5	Mg/m³
# Fermi-level density of states	0.871	states/eV per atom
# final energy	-7.514	eV/atom
# space group	P4/mmm (123)
# total magnetic moment	3.36	μB/cell
data_Zr5ZnCo4
_chemical_formula_sum 'Zr5 Zn1 Co4'
_space_group_name_H-M_alt 'P 1'
_space_group_IT_number 1
_cell_length_a 3.223
_cell_length_b 3.223
_cell_length_c 16.159
_cell_angle_alpha 90.00
_cell_angle_beta 90.00
_cell_angle_gamma 90.00
loop_
_space_group_symop_operation_xyz
'x,y,z'
loop_
_atom_site_label
_atom_site_fract_x
_atom_site_fract_y
_atom_site_fract_z
Zr1 0.000 0.000 0.000
Zr2 0.000 0.000 0.196
Zr3 0.000 0.000 0.391
Zr4 0.000 0.000 0.609
Zr5 0.000 0.000 0.804
Zn1 0.500 0.500 0.500
Co1 0.500 0.500 0.098
Co2 0.500 0.500 0.293
Co3 0.500 0.500 0.707
Co4 0.500 0.500 0.902

---

[3]
# GGA-PBE NaCoAsSe2, relaxed
# density	4.8	Mg/m³
# Fermi-level density of states	0.960	states/eV per atom
# offset from the most stable computed form	0	meV/atom
# final energy	-4.057	eV/atom
# space group	P4/mmm (123)
# formation energy from raw total energies	-49	meV/atom
# total magnetic moment	0.42	μB/cell
data_NaCoAsSe2
_chemical_formula_sum 'Na1 Co1 As1 Se2'
_space_group_name_H-M_alt 'P 1'
_space_group_IT_number 1
_cell_length_a 5.012
_cell_length_b 5.012
_cell_length_c 4.347
_cell_angle_alpha 90.00
_cell_angle_beta 90.00
_cell_angle_gamma 90.00
loop_
_space_group_symop_operation_xyz
'x,y,z'
loop_
_atom_site_label
_atom_site_fract_x
_atom_site_fract_y
_atom_site_fract_z
Na1 0.000 0.000 0.000
Co1 0.500 0.500 0.500
As1 0.500 0.500 0.000
Se1 0.000 0.500 0.500
Se2 0.500 0.000 0.500

---

[4]
# GGA-PBE Ca2ScP, relaxed
# density	2.2	Mg/m³
# Fermi-level density of states	0.934	states/eV per atom
# final energy	-4.485	eV/atom
# space group	Immm (71)
# total magnetic moment	0.80	μB/cell
data_Ca2ScP
_chemical_formula_sum 'Ca4 Sc2 P2'
_space_group_name_H-M_alt 'P 1'
_space_group_IT_number 1
_cell_length_a 3.561
_cell_length_b 3.908
_cell_length_c 16.562
_cell_angle_alpha 90.00
_cell_angle_beta 90.00
_cell_angle_gamma 90.00
loop_
_space_group_symop_operation_xyz
'x,y,z'
loop_
_atom_site_label
_atom_site_fract_x
_atom_site_fract_y
_atom_site_fract_z
Ca1 0.000 0.000 0.163
Ca2 0.000 0.000 0.837
Ca3 0.500 0.500 0.337
Ca4 0.500 0.500 0.663
Sc1 0.000 0.500 0.000
Sc2 0.500 0.000 0.500
P1 0.000 0.500 0.500
P2 0.500 0.000 0.000

---

[5]
# GGA-PBE NaAg6Au5, relaxed
# density	12.6	Mg/m³
# Fermi-level density of states	0.233	states/eV per atom
# final energy	-2.957	eV/atom
# space group	Cmmm (65)
# total magnetic moment	0.00	μB/cell
data_NaAg6Au5
_chemical_formula_sum 'Na1 Ag6 Au5'
_space_group_name_H-M_alt 'P 1'
_space_group_IT_number 1
_cell_length_a 6.495
_cell_length_b 6.495
_cell_length_c 8.512
_cell_angle_alpha 90.00
_cell_angle_beta 90.00
_cell_angle_gamma 142.56
loop_
_space_group_symop_operation_xyz
'x,y,z'
loop_
_atom_site_label
_atom_site_fract_x
_atom_site_fract_y
_atom_site_fract_z
Na1 0.000 0.000 0.000
Ag1 0.168 0.832 0.253
Ag2 0.168 0.832 0.747
Ag3 0.500 0.500 0.251
Ag4 0.500 0.500 0.749
Ag5 0.832 0.168 0.253
Ag6 0.832 0.168 0.747
Au1 0.000 0.000 0.500
Au2 0.332 0.668 0.000
Au3 0.335 0.665 0.500
Au4 0.665 0.335 0.500
Au5 0.668 0.332 0.000

---

[6]
# GGA-PBE SrIn4Ir2, relaxed
# density	9.8	Mg/m³
# Fermi-level density of states	0.555	states/eV per atom
# offset from the most stable computed form	0	meV/atom
# final energy	-4.622	eV/atom
# space group	Pnma (62)
# total magnetic moment	0.00	μB/cell
data_SrIn4Ir2
_chemical_formula_sum 'Sr4 In16 Ir8'
_space_group_name_H-M_alt 'P 1'
_space_group_IT_number 1
_cell_length_a 18.567
_cell_length_b 4.609
_cell_length_c 7.352
_cell_angle_alpha 90.00
_cell_angle_beta 90.00
_cell_angle_gamma 90.00
loop_
_space_group_symop_operation_xyz
'x,y,z'
loop_
_atom_site_label
_atom_site_fract_x
_atom_site_fract_y
_atom_site_fract_z
Sr1 0.143 0.250 0.033
Sr2 0.357 0.750 0.533
Sr3 0.643 0.250 0.467
Sr4 0.857 0.750 0.967
In1 0.032 0.750 0.859
In2 0.069 0.250 0.496
In3 0.185 0.750 0.333
In4 0.194 0.750 0.742
In5 0.306 0.250 0.242
In6 0.315 0.250 0.833
In7 0.431 0.750 0.996
In8 0.468 0.250 0.359
In9 0.532 0.750 0.641
In10 0.569 0.250 0.004
In11 0.685 0.750 0.167
In12 0.694 0.750 0.758
In13 0.806 0.250 0.258
In14 0.815 0.250 0.667
In15 0.931 0.750 0.504
In16 0.968 0.250 0.141
Ir1 0.039 0.750 0.248
Ir2 0.216 0.250 0.542
Ir3 0.284 0.750 0.042
Ir4 0.461 0.250 0.748
Ir5 0.539 0.750 0.252
Ir6 0.716 0.250 0.958
Ir7 0.784 0.750 0.458
Ir8 0.961 0.250 0.752

---

[7]
# GGA-PBE B2C, relaxed
# density	2.4	Mg/m³
# Fermi-level density of states	0.169	states/eV per atom
# offset from the most stable computed form	229	meV/atom
# final energy	-7.112	eV/atom
# space group	Cm (8)
# total magnetic moment	0.00	μB/cell
data_B2C
_chemical_formula_sum 'B8 C4'
_space_group_name_H-M_alt 'P 1'
_space_group_IT_number 1
_cell_length_a 4.744
_cell_length_b 4.744
_cell_length_c 7.870
_cell_angle_alpha 107.06
_cell_angle_beta 107.06
_cell_angle_gamma 33.39
loop_
_space_group_symop_operation_xyz
'x,y,z'
loop_
_atom_site_label
_atom_site_fract_x
_atom_site_fract_y
_atom_site_fract_z
B1 0.000 0.000 0.000
B2 0.182 0.182 0.164
B3 0.227 0.227 0.747
B4 0.381 0.381 0.140
B5 0.506 0.506 0.825
B6 0.811 0.811 0.000
B7 0.890 0.890 0.571
B8 0.984 0.984 0.410
C1 0.356 0.356 0.650
C2 0.520 0.520 0.330
C3 0.634 0.634 0.229
C4 0.679 0.679 0.816

---

[8]
# GGA-PBE NbHIrRh2, relaxed
# density	13.1	Mg/m³
# Fermi-level density of states	0.672	states/eV per atom
# offset from the most stable computed form	0	meV/atom
# final energy	-7.783	eV/atom
# space group	P4/mmm (123)
# total magnetic moment	0.00	μB/cell
data_NbHIrRh2
_chemical_formula_sum 'Nb1 H1 Ir1 Rh2'
_space_group_name_H-M_alt 'P 1'
_space_group_IT_number 1
_cell_length_a 3.961
_cell_length_b 3.961
_cell_length_c 3.974
_cell_angle_alpha 90.00
_cell_angle_beta 90.00
_cell_angle_gamma 90.00
loop_
_space_group_symop_operation_xyz
'x,y,z'
loop_
_atom_site_label
_atom_site_fract_x
_atom_site_fract_y
_atom_site_fract_z
Nb1 0.000 0.000 0.000
H1 0.500 0.500 0.500
Ir1 0.500 0.500 0.000
Rh1 0.000 0.500 0.500
Rh2 0.500 0.000 0.500

---

[9]
# GGA-PBE Hf4Zr2W, relaxed
# density	10.0	Mg/m³
# Fermi-level density of states	1.422	states/eV per atom
# final energy	-9.049	eV/atom
# space group	I4/mmm (139)
# total magnetic moment	0.00	μB/cell
data_Hf4Zr2W
_chemical_formula_sum 'Hf8 Zr4 W2'
_space_group_name_H-M_alt 'P 1'
_space_group_IT_number 1
_cell_length_a 4.940
_cell_length_b 4.940
_cell_length_c 14.707
_cell_angle_alpha 90.00
_cell_angle_beta 90.00
_cell_angle_gamma 90.00
loop_
_space_group_symop_operation_xyz
'x,y,z'
loop_
_atom_site_label
_atom_site_fract_x
_atom_site_fract_y
_atom_site_fract_z
Hf1 0.000 0.000 0.179
Hf2 0.000 0.000 0.821
Hf3 0.000 0.500 0.000
Hf4 0.000 0.500 0.500
Hf5 0.500 0.000 0.000
Hf6 0.500 0.000 0.500
Hf7 0.500 0.500 0.321
Hf8 0.500 0.500 0.679
Zr1 0.000 0.000 0.372
Zr2 0.000 0.000 0.628
Zr3 0.500 0.500 0.128
Zr4 0.500 0.500 0.872
W1 0.000 0.000 0.000
W2 0.500 0.500 0.500

---

[10]
# GGA-PBE CsKAgHg, relaxed
# density	4.1	Mg/m³
# Fermi-level density of states	0.685	states/eV per atom
# offset from the most stable computed form	0	meV/atom
# final energy	-1.383	eV/atom
# space group	Cm (8)
# total magnetic moment	0.00	μB/cell
data_CsKAgHg
_chemical_formula_sum 'Cs2 K2 Ag2 Hg2'
_space_group_name_H-M_alt 'P 1'
_space_group_IT_number 1
_cell_length_a 8.824
_cell_length_b 5.097
_cell_length_c 9.086
_cell_angle_alpha 90.00
_cell_angle_beta 109.01
_cell_angle_gamma 90.00
loop_
_space_group_symop_operation_xyz
'x,y,z'
loop_
_atom_site_label
_atom_site_fract_x
_atom_site_fract_y
_atom_site_fract_z
Cs1 0.000 0.000 0.000
Cs2 0.500 0.500 0.000
K1 0.176 0.000 0.524
K2 0.676 0.500 0.524
Ag1 0.431 0.000 0.290
Ag2 0.931 0.500 0.290
Hg1 0.264 0.500 0.290
Hg2 0.764 0.000 0.290

---

- Number 4 is which compound?
  Ca2ScP